Record 1
DFT (PBE) results for La2CdS after structural relaxation.

Structure (POSCAR):
```
La2CdS
1.0
-4.526 -1.037 6.685
6.047 -4.227 3.438
2.170 0.562 6.511
S La Cd
2 4 2
Direct
0.500 0.500 0.000
0.250 0.750 0.500
0.582 0.125 0.250
0.168 0.625 0.250
0.375 0.418 0.750
0.875 0.832 0.750
0.750 0.250 0.500
0.000 0.000 0.000
```

Calculated values
* polymorph energy (0 for the lowest one): 315 meV/atom
* uncorrected formation energy: -814 meV per atom
* VASP energy: -4.538 eV per atom
* Fermi-level density of states: 13.77 states/eV per cell

***

Record 2
DFT (PBE) results for Mn5Se after structural relaxation.

Structure (POSCAR):
```
Mn5Se
1.0
0.058 5.979 2.881
-1.959 -6.283 -0.858
2.933 -1.265 2.566
Mn Se
5 1
Direct
0.439 0.561 0.500
0.326 0.674 0.000
0.787 0.213 0.500
0.669 0.331 0.000
0.991 0.009 0.000
0.121 0.879 0.500
```

Calculated values
* polymorph energy (0 for the lowest one): 64 meV/atom
* uncorrected formation energy: 187 meV per atom
* VASP energy: -8.035 eV per atom
* Fermi-level density of states: 7.48 states/eV per cell

***

Record 3
DFT (PBE) results for BaTaBe2 after structural relaxation.

Structure (POSCAR):
```
BaTaBe2
1.0
-3.883 -0.058 -1.771
-0.988 -2.151 -3.552
-2.927 -5.453 1.652
Ba Be Ta
1 2 1
Direct
0.250 0.250 0.250
0.050 0.050 0.813
0.450 0.450 0.687
0.750 0.750 0.750
```

Calculated values
* energy relative to the elements: 0.593 eV per atom
* polymorph energy (0 for the lowest one): 151 meV/atom
* VASP energy: -4.714 eV per atom
* Fermi-level density of states: 2.99 states/eV per cell

***

Record 4
DFT (PBE) results for IrIN2 after structural relaxation.

Structure (POSCAR):
```
IrIN2
1.0
6.052 0.000 0.000
0.000 6.052 0.000
3.026 3.026 4.266
Ir N I
2 4 2
Direct
0.750 0.250 0.500
0.000 0.000 0.000
0.875 0.113 0.750
0.863 0.125 0.250
0.887 0.625 0.250
0.375 0.137 0.750
0.500 0.500 0.000
0.250 0.750 0.500
```

Calculated values
* polymorph energy (0 for the lowest one): 73 meV/atom
* uncorrected formation energy: 1038 meV per atom
* VASP energy: -5.728 eV per atom
* Fermi-level density of states: 6.32 states/eV per cell

***

Record 5
DFT (PBE) results for PrB2HF10 after structural relaxation.

Structure (POSCAR):
```
PrB2HF10
1.0
-3.898 1.111 -4.356
-3.968 -5.684 2.100
-6.176 2.194 6.086
F B Pr H
20 4 2 2
Direct
0.444 0.259 0.140
0.944 0.549 0.636
0.000 0.000 0.500
0.750 0.567 0.097
0.750 0.323 0.852
0.250 0.677 0.148
0.750 0.912 0.990
0.250 0.058 0.747
0.250 0.712 0.394
0.556 0.549 0.636
0.056 0.451 0.364
0.750 0.288 0.606
0.444 0.451 0.364
0.556 0.741 0.860
0.250 0.433 0.903
0.250 0.088 0.010
0.056 0.259 0.140
0.944 0.741 0.860
0.750 0.942 0.253
0.500 0.000 0.500
0.750 0.739 0.953
0.250 0.577 0.312
0.750 0.423 0.688
0.250 0.261 0.047
0.750 0.230 0.341
0.250 0.770 0.659
0.750 0.932 0.146
0.250 0.068 0.854
```

Calculated values
* VASP energy: -5.915 eV per atom
* Fermi-level density of states: 0.00 states/eV per cell

***

Record 6
DFT (PBE) results for Fe3Br after structural relaxation.

Structure (POSCAR):
```
Fe3Br
1.0
4.299 0.000 0.000
2.150 3.723 0.000
2.150 1.241 3.510
Fe Br
3 1
Direct
0.250 0.250 0.250
0.500 0.500 0.500
0.750 0.750 0.750
0.000 0.000 0.000
```

Calculated values
* polymorph energy (0 for the lowest one): 394 meV/atom
* uncorrected formation energy: 778 meV per atom
* VASP energy: -5.987 eV per atom
* Fermi-level density of states: 3.27 states/eV per cell

***

Record 7
DFT (PBE) results for MnZnHgBr2 after structural relaxation.

Structure (POSCAR):
```
MnZnHgBr2
1.0
5.101 0.000 0.000
0.000 5.965 0.000
0.000 0.000 5.101
Br Zn Hg Mn
2 1 1 1
Direct
0.500 0.000 0.000
0.000 0.000 0.500
0.500 0.500 0.500
0.000 0.500 0.000
0.000 0.000 0.000
```

Calculated values
* uncorrected formation energy: -117 meV per atom
* VASP energy: -2.935 eV per atom
* Fermi-level density of states: 1.50 states/eV per cell

***

Record 8
DFT (PBE) results for PrHoHgPd after structural relaxation.

Structure (POSCAR):
```
PrHoHgPd
1.0
-1.789 2.391 4.270
-1.448 -2.807 4.144
2.882 0.083 4.340
Pr Ho Pd Hg
1 1 1 1
Direct
0.750 0.750 0.750
0.250 0.250 0.250
0.000 0.000 0.000
0.500 0.500 0.500
```

Calculated values
* energy relative to the elements: -0.586 eV per atom
* VASP energy: -4.299 eV per atom
* Fermi-level density of states: 3.39 states/eV per cell

***

Which of these has the highest Fermi-level density of states? La2CdS

***

Fermi-level density of states of number 1 (La2CdS)? 13.77 states/eV per cell

***

Look up the VASP energy of the third one. -4.714 eV per atom

***

What is the VASP energy in the fourth record? -5.728 eV per atom